Entry from the Alexandria database: an optimized crystal structure of Pr6P5Se (PBE).

Cell lengths 7.300, 7.300, 7.303 Å; angles 99.60, 99.60, 119.96 degrees
Fractional coordinates of all 12 atoms:
Pr1 0.074 0.415 0.746
Pr2 0.244 0.244 0.255
Pr3 0.415 0.074 0.746
Pr4 0.585 0.926 0.254
Pr5 0.756 0.756 0.745
Pr6 0.926 0.585 0.254
P1 0.000 0.000 0.500
P2 0.167 0.833 0.000
P3 0.335 0.665 0.500
P4 0.665 0.335 0.500
P5 0.833 0.167 0.000
Se1 0.500 0.500 0.000

Formation energy (no corrections), eV/atom: -1.62